(1)
6
Lattice="0.0000 3.8780 3.8780 3.8780 0.0000 3.8780 3.8780 3.8780 0.0000" Properties=species:S:1:pos:R:3 comment="CdSi4Pb (PBE, relaxed)" final_energy_ev_per_atom=-3.87 pbc="T T T"
Cd 0.0000 0.0000 0.0000
Si 2.8813 2.8813 2.8813
Si 4.8746 4.8746 2.8813
Si 4.8746 2.8813 4.8746
Si 2.8813 4.8746 4.8746
Pb 5.8170 5.8170 5.8170

=====

(2)
12
Lattice="4.7957 0.0000 0.0000 -2.3978 4.1532 0.0000 0.0000 0.0000 11.7157" Properties=species:S:1:pos:R:3 comment="Er2TmRh3 (PBE, relaxed)" ef_ev_per_atom=-0.95 pbc="T T T"
Er 0.0000 0.0000 0.0000
Er 0.0000 0.0000 5.8579
Er 0.0000 2.7688 1.9593
Er 2.3978 1.3844 9.7564
Tm 0.0000 2.7688 7.8066
Tm 2.3978 1.3844 3.9091
Rh 0.0000 0.0000 2.9360
Rh 0.0000 0.0000 8.7797
Rh 0.0000 2.7688 4.8820
Rh 0.0000 2.7688 10.7333
Rh 2.3978 1.3844 0.9824
Rh 2.3978 1.3844 6.8338

=====

(3)
5
Lattice="4.9871 0.0000 0.0000 0.0000 4.9871 0.0000 0.0000 0.0000 4.7035" Properties=species:S:1:pos:R:3 comment="KMg2ScPt (PBE, relaxed)" ef_ev_per_atom=1.53 pbc="T T T"
K 0.0000 0.0000 0.0000
Mg 0.0000 2.4935 0.0000
Mg 2.4935 0.0000 0.0000
Sc 0.0000 0.0000 2.3518
Pt 2.4935 2.4935 2.3518

=====

(4)
18
Lattice="1.9894 -9.7058 0.0000 1.9894 9.7058 0.0000 0.0000 0.0000 13.4886" Properties=species:S:1:pos:R:3 comment="HoCuSn2Se5 (PBE, relaxed)" final_energy_ev_per_atom=-4.47 pbc="T T T"
Ho 1.9894 6.0308 6.7443
Ho 1.9894 -6.0308 0.0000
Cu 1.9894 1.4459 12.3225
Cu 1.9894 -1.4459 5.5781
Sn 1.9894 8.4594 9.4137
Sn 1.9894 6.4003 2.1959
Sn 1.9894 -6.4003 8.9403
Sn 1.9894 -8.4594 2.6693
Se 1.9894 8.9798 6.7620
Se 1.9894 3.7359 11.5001
Se 1.9894 3.5865 2.1391
Se 1.9894 3.2192 7.0417
Se 1.9894 0.4832 10.1066
Se 1.9894 -0.4832 3.3623
Se 1.9894 -3.2192 0.2974
Se 1.9894 -3.5865 8.8834
Se 1.9894 -3.7359 4.7558
Se 1.9894 -8.9798 0.0177

=====

(5)
12
Lattice="3.3103 -5.7396 0.0000 3.3103 5.7396 0.0000 -2.2148 0.0000 7.8765" Properties=species:S:1:pos:R:3 comment="ScTi2Tl3Se6 (PBE, relaxed)" final_energy_ev_per_atom=-5.14 pbc="T T T"
Sc 0.0000 0.0000 0.0000
Ti 3.3103 1.9295 0.0000
Ti 3.3103 -1.9295 0.0000
Tl 2.2029 3.8768 3.9383
Tl 2.2029 0.0000 3.9383
Tl 2.2029 -3.8768 3.9383
Se 1.1327 1.9672 1.5102
Se 0.0575 0.0000 6.3970
Se 1.1327 -1.9672 1.5102
Se 3.2730 1.9672 6.3663
Se 4.3482 0.0000 1.4796
Se 3.2730 -1.9672 6.3663

=====

(6)
11
Lattice="9.3294 -2.6845 0.0000 9.3294 2.6845 0.0000 -0.4034 0.0000 6.2712" Properties=species:S:1:pos:R:3 comment="Ho8Sc2Al (PBE, relaxed)" ef_ev_per_atom=-0.03 pbc="T T T"
Ho 0.7067 0.0000 1.5947
Ho 2.6084 0.0000 5.0446
Ho 5.9742 0.0000 5.5108
Ho 7.6686 0.0000 2.5167
Ho 10.5867 0.0000 3.7545
Ho 12.2811 0.0000 0.7604
Ho 15.6469 0.0000 1.2266
Ho 17.5487 0.0000 4.6765
Sc 4.3589 0.0000 2.1310
Sc 13.8964 0.0000 4.1402
Al 9.3294 0.0000 0.0000